Density functional theory data (PBE-GGA) for a relaxed structure of SrScTlRe2.

Its formation energy is 2.067 eV per atom. The value obtained for the calculated density is 8259 kg/m³.

Cell lengths 5.1196, 5.1196, 5.4415 Å; angles 90.00, 90.00, 90.00 degrees
Sites, in units of the cell vectors:
Sr (0.0000, 0.0000, 0.0000)
Sc (0.5000, 0.5000, 0.0000)
Tl (0.0000, 0.0000, 0.5000)
Re (0.0000, 0.5000, 0.5000)
Re (0.5000, 0.0000, 0.5000)

=====

Density functional theory data (PBE-GGA) for a relaxed structure of In2IrPb.

Its formation energy is 0.184 eV per atom. The value obtained for the calculated density is 11251 kg/m³.

Cell lengths 4.0694, 4.2854, 5.6883 Å; angles 90.00, 110.62, 90.00 degrees
Sites, in units of the cell vectors:
In (0.0000, 0.0000, 0.0000)
In (0.4237, 0.5000, 0.8488)
Ir (0.1513, 0.5000, 0.3089)
Pb (0.7204, 0.0000, 0.4470)

=====

Density functional theory data (PBE-GGA) for a relaxed structure of Co2HgPt.

Its formation energy is 0.542 eV per atom. The value obtained for the calculated density is 12654 kg/m³.

Cell lengths 9.5199, 9.5199, 9.5199 Å; angles 156.71, 156.71, 33.18 degrees
Sites, in units of the cell vectors:
Co (0.0467, 0.6250, 0.9217)
Co (0.3750, 0.2967, 0.4217)
Co (0.7033, 0.1250, 0.0783)
Co (0.8750, 0.9533, 0.5783)
Hg (0.2500, 0.7500, 0.5000)
Hg (0.5000, 0.5000, 0.0000)
Pt (0.0000, 0.0000, 0.0000)
Pt (0.7500, 0.2500, 0.5000)

=====

Density functional theory data (PBE-GGA) for a relaxed structure of K2CaTeS4.

The uncorrected energy comes out at -3.9819 eV/atom. The value obtained for the calculated density is 2955 kg/m³.

Cell lengths 8.4110, 8.4110, 8.4110 Å; angles 121.43, 118.56, 90.03 degrees
Sites, in units of the cell vectors:
K (0.0000, 0.0000, 0.0000)
K (0.5000, 0.0000, 0.0000)
K (0.5000, 0.0000, 0.5000)
K (0.5000, 0.5000, 0.5000)
Ca (0.0000, 0.5000, 0.5000)
Ca (0.5000, 0.5000, 0.0000)
Te (0.0000, 0.0000, 0.5000)
Te (0.0000, 0.5000, 0.0000)
S (0.2048, 0.7417, 0.4631)
S (0.2213, 0.2583, 0.9631)
S (0.2269, 0.2479, 0.5210)
S (0.2269, 0.7059, 0.9790)
S (0.7731, 0.2941, 0.0210)
S (0.7731, 0.7521, 0.4790)
S (0.7787, 0.7417, 0.0369)
S (0.7952, 0.2583, 0.5369)

=====

Density functional theory data (PBE-GGA) for a relaxed structure of MgU2Ge3Ir4.

Its formation energy is -0.459 eV per atom. The value obtained for the calculated density is 13516 kg/m³.

Cell lengths 4.0330, 4.0330, 11.2325 Å; angles 90.00, 90.00, 90.00 degrees
Sites, in units of the cell vectors:
Mg (0.0000, 0.0000, 0.0000)
U (0.0000, 0.5000, 0.7479)
U (0.5000, 0.0000, 0.2521)
Ge (0.0000, 0.5000, 0.3744)
Ge (0.5000, 0.0000, 0.6256)
Ge (0.5000, 0.5000, 0.0000)
Ir (0.0000, 0.0000, 0.5000)
Ir (0.0000, 0.5000, 0.1592)
Ir (0.5000, 0.0000, 0.8408)
Ir (0.5000, 0.5000, 0.5000)

=====

Density functional theory data (PBE-GGA) for a relaxed structure of K3Ga4Au2.

Its formation energy is -0.225 eV per atom. The value obtained for the calculated density is 5220 kg/m³.

Cell lengths 4.5473, 6.6792, 9.3225 Å; angles 97.73, 103.89, 109.78 degrees
Sites, in units of the cell vectors:
K (0.0000, 0.0000, 0.0000)
K (0.2541, 0.8742, 0.6352)
K (0.7459, 0.1258, 0.3648)
Ga (0.3459, 0.6076, 0.0783)
Ga (0.4764, 0.5716, 0.3779)
Ga (0.5236, 0.4284, 0.6221)
Ga (0.6541, 0.3924, 0.9217)
Au (0.0838, 0.4047, 0.7681)
Au (0.9162, 0.5953, 0.2319)

=====

Density functional theory data (PBE-GGA) for a relaxed structure of CdH4Pd7.

The uncorrected energy comes out at -4.1676 eV/atom. The value obtained for the calculated density is 9169 kg/m³.

Cell lengths 5.7760, 5.7760, 7.5358 Å; angles 125.80, 125.80, 55.92 degrees
Sites, in units of the cell vectors:
Cd (0.0000, 0.0000, 0.0000)
H (0.2781, 0.2781, 0.7526)
H (0.4139, 0.4139, 0.5040)
H (0.5861, 0.5861, 0.4960)
H (0.7219, 0.7219, 0.2474)
Pd (0.1090, 0.1090, 0.7447)
Pd (0.2386, 0.2386, 0.4895)
Pd (0.3637, 0.3637, 0.2303)
Pd (0.5000, 0.5000, 0.0000)
Pd (0.6363, 0.6363, 0.7697)
Pd (0.7614, 0.7614, 0.5105)
Pd (0.8910, 0.8910, 0.2553)

=====

Density functional theory data (PBE-GGA) for a relaxed structure of La2TiVRe.

Its formation energy is 0.941 eV per atom. The value obtained for the calculated density is 6535 kg/m³.

Cell lengths 5.5779, 5.5779, 4.5969 Å; angles 90.00, 90.00, 90.00 degrees
Sites, in units of the cell vectors:
La (0.0000, 0.5000, 0.0000)
La (0.5000, 0.0000, 0.0000)
Ti (0.0000, 0.0000, 0.5000)
V (0.5000, 0.5000, 0.5000)
Re (0.5000, 0.5000, 0.0000)

=====

Density functional theory data (PBE-GGA) for a relaxed structure of Si2SnRhO.

The uncorrected energy comes out at -6.1267 eV/atom. The value obtained for the calculated density is 5850 kg/m³.

Cell lengths 3.8273, 2.9190, 7.6677 Å; angles 90.00, 103.21, 90.00 degrees
Sites, in units of the cell vectors:
Si (0.0000, 0.0000, 0.0000)
Si (0.4980, 0.5000, 0.7477)
Sn (0.1613, 0.5000, 0.3835)
Rh (0.5236, 0.5000, 0.0648)
O (0.7971, 0.0000, 0.7535)

=====

Density functional theory data (PBE-GGA) for a relaxed structure of RbTl12In6.

Its formation energy is 0.016 eV per atom. The value obtained for the calculated density is 9218 kg/m³.

Cell lengths 9.3266, 9.3266, 9.3266 Å; angles 111.19, 111.19, 111.19 degrees
Sites, in units of the cell vectors:
Rb (0.0000, 0.0000, 0.0000)
Tl (0.1152, 0.1757, 0.7324)
Tl (0.1757, 0.7324, 0.1152)
Tl (0.2092, 0.3387, 0.4877)
Tl (0.2676, 0.8848, 0.8243)
Tl (0.3387, 0.4877, 0.2092)
Tl (0.4877, 0.2092, 0.3387)
Tl (0.5123, 0.7908, 0.6613)
Tl (0.6613, 0.5123, 0.7908)
Tl (0.7324, 0.1152, 0.1757)
Tl (0.7908, 0.6613, 0.5123)
Tl (0.8243, 0.2676, 0.8848)
Tl (0.8848, 0.8243, 0.2676)
In (0.0460, 0.5692, 0.3553)
In (0.3553, 0.0460, 0.5692)
In (0.4308, 0.6447, 0.9540)
In (0.5692, 0.3553, 0.0460)
In (0.6447, 0.9540, 0.4308)
In (0.9540, 0.4308, 0.6447)

=====

Density functional theory data (PBE-GGA) for a relaxed structure of TiPdSe3.

The uncorrected energy comes out at -5.4072 eV/atom. The value obtained for the calculated density is 6199 kg/m³.

Cell lengths 6.8757, 6.8757, 6.8757 Å; angles 56.19, 56.19, 56.19 degrees
Sites, in units of the cell vectors:
Ti (0.1680, 0.1680, 0.1680)
Ti (0.8320, 0.8320, 0.8320)
Pd (0.3400, 0.3400, 0.3400)
Pd (0.6600, 0.6600, 0.6600)
Se (0.0754, 0.4265, 0.7541)
Se (0.2459, 0.9246, 0.5735)
Se (0.4265, 0.7541, 0.0754)
Se (0.5735, 0.2459, 0.9246)
Se (0.7541, 0.0754, 0.4265)
Se (0.9246, 0.5735, 0.2459)

=====

Density functional theory data (PBE-GGA) for a relaxed structure of LaPrTmSn.

Its formation energy is -0.268 eV per atom. The value obtained for the calculated density is 7655 kg/m³.

Cell lengths 5.5837, 5.5837, 5.5837 Å; angles 60.00, 60.00, 60.00 degrees
Sites, in units of the cell vectors:
La (0.0000, 0.0000, 0.0000)
Pr (0.5000, 0.5000, 0.5000)
Tm (0.7500, 0.7500, 0.7500)
Sn (0.2500, 0.2500, 0.2500)

=====

Density functional theory data (PBE-GGA) for a relaxed structure of ScReO5.

The uncorrected energy comes out at -8.3376 eV/atom. The value obtained for the calculated density is 5573 kg/m³.

Cell lengths 5.3680, 5.3680, 5.3680 Å; angles 139.38, 106.73, 87.31 degrees
Sites, in units of the cell vectors:
Sc (0.0000, 0.0000, 0.0000)
Re (0.5000, 0.5000, 0.0000)
O (0.2035, 0.5000, 0.7035)
O (0.2608, 0.2608, 0.0000)
O (0.5000, 0.0000, 0.5000)
O (0.7392, 0.7392, 0.0000)
O (0.7965, 0.5000, 0.2965)

=====

Density functional theory data (PBE-GGA) for a relaxed structure of CaYGaPd.

Its formation energy is -0.644 eV per atom. The value obtained for the calculated density is 5274 kg/m³.

Cell lengths 4.4447, 5.8586, 5.8586 Å; angles 39.03, 90.00, 90.00 degrees
Sites, in units of the cell vectors:
Ca (0.0000, 0.0000, 0.0000)
Y (0.5000, 0.7121, 0.7121)
Ga (0.5000, 0.4240, 0.4240)
Pd (0.0000, 0.2819, 0.2819)

=====

Density functional theory data (PBE-GGA) for a relaxed structure of YCdCl2.

The uncorrected energy comes out at -4.0354 eV/atom. The value obtained for the calculated density is 3555 kg/m³.

Cell lengths 6.9134, 6.9134, 5.8203 Å; angles 114.83, 114.83, 30.51 degrees
Sites, in units of the cell vectors:
Y (0.0000, 0.0000, 0.0000)
Cd (0.5000, 0.5000, 0.5000)
Cl (0.3368, 0.3368, 0.8375)
Cl (0.6632, 0.6632, 0.1625)

=====

Density functional theory data (PBE-GGA) for a relaxed structure of ThNi4SbP2.

The uncorrected energy comes out at -6.3361 eV/atom. The value obtained for the calculated density is 8570 kg/m³.

Cell lengths 4.0267, 4.0267, 7.7739 Å; angles 90.00, 90.00, 90.00 degrees
Sites, in units of the cell vectors:
Th (0.0000, 0.0000, 0.0000)
Ni (0.0000, 0.5000, 0.2899)
Ni (0.0000, 0.5000, 0.7101)
Ni (0.5000, 0.0000, 0.2899)
Ni (0.5000, 0.0000, 0.7101)
Sb (0.0000, 0.0000, 0.5000)
P (0.5000, 0.5000, 0.1601)
P (0.5000, 0.5000, 0.8399)

=====

Density functional theory data (PBE-GGA) for a relaxed structure of MgSe3N.

The uncorrected energy comes out at -3.5742 eV/atom. The value obtained for the calculated density is 5165 kg/m³.

Cell lengths 4.4561, 4.4561, 4.4561 Å; angles 90.00, 90.00, 90.00 degrees
Sites, in units of the cell vectors:
Mg (0.0000, 0.0000, 0.0000)
Se (0.0000, 0.5000, 0.5000)
Se (0.5000, 0.0000, 0.5000)
Se (0.5000, 0.5000, 0.0000)
N (0.5000, 0.5000, 0.5000)

=====

Density functional theory data (PBE-GGA) for a relaxed structure of Zn3Ni7Ge2.

Its formation energy is -0.127 eV per atom. The value obtained for the calculated density is 7932 kg/m³.

Cell lengths 9.5399, 9.5399, 4.1180 Å; angles 90.00, 90.00, 155.15 degrees
Sites, in units of the cell vectors:
Zn (0.0000, 0.0000, 0.0000)
Zn (0.1523, 0.8477, 0.0000)
Zn (0.8477, 0.1523, 0.0000)
Ni (0.0760, 0.9240, 0.5000)
Ni (0.2172, 0.7829, 0.5000)
Ni (0.4247, 0.5753, 0.0000)
Ni (0.5000, 0.5000, 0.5000)
Ni (0.5753, 0.4247, 0.0000)
Ni (0.7829, 0.2172, 0.5000)
Ni (0.9240, 0.0760, 0.5000)
Ge (0.3490, 0.6510, 0.5000)
Ge (0.6510, 0.3490, 0.5000)

=====

Density functional theory data (PBE-GGA) for a relaxed structure of NdTm2ScTe6.

The uncorrected energy comes out at -5.1853 eV/atom. The value obtained for the calculated density is 6146 kg/m³.

Cell lengths 8.2256, 8.2256, 8.2256 Å; angles 55.16, 55.16, 55.16 degrees
Sites, in units of the cell vectors:
Nd (0.0000, 0.0000, 0.0000)
Tm (0.1854, 0.1854, 0.1854)
Tm (0.6889, 0.6889, 0.6889)
Sc (0.5042, 0.5042, 0.5042)
Te (0.1053, 0.4183, 0.7690)
Te (0.2952, 0.9034, 0.5801)
Te (0.4183, 0.7690, 0.1053)
Te (0.5801, 0.2952, 0.9034)
Te (0.7690, 0.1053, 0.4183)
Te (0.9034, 0.5801, 0.2952)

=====

Density functional theory data (PBE-GGA) for a relaxed structure of SrHoTlCl6.

The uncorrected energy comes out at -4.2786 eV/atom. The value obtained for the calculated density is 3523 kg/m³.

Cell lengths 7.3525, 7.3525, 13.4833 Å; angles 90.00, 90.00, 120.00 degrees
Sites, in units of the cell vectors:
Sr (0.3333, 0.6667, 0.2500)
Sr (0.6667, 0.3333, 0.7500)
Ho (0.3333, 0.6667, 0.7500)
Ho (0.6667, 0.3333, 0.2500)
Tl (0.0000, 0.0000, 0.0000)
Tl (0.0000, 0.0000, 0.5000)
Cl (0.0274, 0.3824, 0.6381)
Cl (0.0274, 0.6449, 0.8619)
Cl (0.3551, 0.3824, 0.8619)
Cl (0.3551, 0.9726, 0.6381)
Cl (0.3824, 0.0274, 0.1381)
Cl (0.3824, 0.3551, 0.3619)
Cl (0.6176, 0.6449, 0.6381)
Cl (0.6176, 0.9726, 0.8619)
Cl (0.6449, 0.0274, 0.3619)
Cl (0.6449, 0.6176, 0.1381)
Cl (0.9726, 0.3551, 0.1381)
Cl (0.9726, 0.6176, 0.3619)